Record 1
# GGA-PBE Pr8CoHg2, optimized geometry
data_Pr8CoHg2
_chemical_formula_sum 'Pr16 Co2 Hg4'
_cell_length_a 7.902
_cell_length_b 16.344
_cell_length_c 6.442
_cell_angle_alpha 90.00
_cell_angle_beta 123.53
_cell_angle_gamma 90.00
_symmetry_space_group_name_H-M 'C 1 m 1'
_symmetry_Int_Tables_number 8
loop_
_symmetry_equiv_pos_as_xyz
'x,y,z'
'x,-y,z'
'x+1/2,y+1/2,z'
'x+1/2,-y+1/2,z'
loop_
_atom_site_label
_atom_site_fract_x
_atom_site_fract_y
_atom_site_fract_z
_atom_site_occupancy
Pr1 0.000 0.000 0.000 1
Pr2 0.016 0.111 0.493 1
Pr3 0.251 0.303 0.793 1
Pr4 0.463 0.000 0.602 1
Pr5 0.483 0.111 0.120 1
Co1 0.244 0.500 0.503 1
Hg1 0.247 0.215 0.298 1
# - size of the total moment (μB/atom) = 0.00
# - electronic total energy (eV for the cell shown) = -94.98
# - excess energy over the best structure of this formula in the dataset (meV/atom) = 9

---

Record 2
# GGA-PBE Pr5CoHg, optimized geometry
data_Pr5CoHg
_chemical_formula_sum 'Pr20 Co4 Hg4'
_cell_length_a 10.305
_cell_length_b 7.366
_cell_length_c 11.855
_cell_angle_alpha 90.00
_cell_angle_beta 108.39
_cell_angle_gamma 90.00
_symmetry_space_group_name_H-M 'C 1 2/c 1'
_symmetry_Int_Tables_number 15
loop_
_symmetry_equiv_pos_as_xyz
'x,y,z'
'-x,-y,-z'
'-x,y,-z+1/2'
'x,-y,z+1/2'
'x+1/2,y+1/2,z'
'-x+1/2,-y+1/2,-z'
'-x+1/2,y+1/2,-z+1/2'
'x+1/2,-y+1/2,z+1/2'
loop_
_atom_site_label
_atom_site_fract_x
_atom_site_fract_y
_atom_site_fract_z
_atom_site_occupancy
Pr1 0.000 0.014 0.250 1
Pr2 0.116 0.321 0.552 1
Pr3 0.236 0.182 0.135 1
Co1 0.000 0.000 0.000 1
Hg1 0.000 0.443 0.250 1
# - size of the total moment (μB/atom) = 0.00
# - electronic total energy (eV for the cell shown) = -127.20

---

Record 3
# GGA-PBE Pr12Co2Hg5, optimized geometry
data_Pr12Co2Hg5
_chemical_formula_sum 'Pr24 Co4 Hg10'
_cell_length_a 17.123
_cell_length_b 7.730
_cell_length_c 10.169
_cell_angle_alpha 90.00
_cell_angle_beta 107.60
_cell_angle_gamma 90.00
_symmetry_space_group_name_H-M 'C 1 2/m 1'
_symmetry_Int_Tables_number 12
loop_
_symmetry_equiv_pos_as_xyz
'x,y,z'
'-x,-y,-z'
'-x,y,-z'
'x,-y,z'
'x+1/2,y+1/2,z'
'-x+1/2,-y+1/2,-z'
'-x+1/2,y+1/2,-z'
'x+1/2,-y+1/2,z'
loop_
_atom_site_label
_atom_site_fract_x
_atom_site_fract_y
_atom_site_fract_z
_atom_site_occupancy
Pr1 0.000 0.000 0.231 1
Pr2 0.002 0.500 0.184 1
Pr3 0.151 0.250 0.573 1
Pr4 0.159 0.231 0.079 1
Co1 0.000 0.206 0.000 1
Hg1 0.000 0.500 0.500 1
Hg2 0.194 0.000 0.836 1
Hg3 0.197 0.000 0.359 1
# - size of the total moment (μB/atom) = 0.00
# - electronic total energy (eV for the cell shown) = -150.39

---

Record 4
# GGA-PBE Pr6CoHg2, optimized geometry
data_Pr6CoHg2
_chemical_formula_sum 'Pr12 Co2 Hg4'
_cell_length_a 7.273
_cell_length_b 7.384
_cell_length_c 12.667
_cell_angle_alpha 90.00
_cell_angle_beta 123.77
_cell_angle_gamma 90.00
_symmetry_space_group_name_H-M 'P 1 21/c 1'
_symmetry_Int_Tables_number 14
loop_
_symmetry_equiv_pos_as_xyz
'x,y,z'
'-x,-y,-z'
'-x,y+1/2,-z+1/2'
'x,-y+1/2,z+1/2'
loop_
_atom_site_label
_atom_site_fract_x
_atom_site_fract_y
_atom_site_fract_z
_atom_site_occupancy
Pr1 0.151 0.002 0.249 1
Pr2 0.249 0.701 0.046 1
Pr3 0.340 0.207 0.044 1
Co1 0.000 0.000 0.000 1
Hg1 0.285 0.068 0.757 1
# - size of the total moment (μB/atom) = 0.00
# - electronic total energy (eV for the cell shown) = -76.20

---

Record 5
# GGA-PBE Pr5CoHg2, optimized geometry
data_Pr5CoHg2
_chemical_formula_sum 'Pr10 Co2 Hg4'
_cell_length_a 8.265
_cell_length_b 11.823
_cell_length_c 4.858
_cell_angle_alpha 90.00
_cell_angle_beta 90.00
_cell_angle_gamma 90.00
_symmetry_space_group_name_H-M 'P b a m'
_symmetry_Int_Tables_number 55
loop_
_symmetry_equiv_pos_as_xyz
'x,y,z'
'-x,-y,-z'
'-x,-y,z'
'x,y,-z'
'x+1/2,-y+1/2,-z'
'-x+1/2,y+1/2,z'
'-x+1/2,y+1/2,-z'
'x+1/2,-y+1/2,z'
loop_
_atom_site_label
_atom_site_fract_x
_atom_site_fract_y
_atom_site_fract_z
_atom_site_occupancy
Pr1 0.000 0.000 0.000 1
Pr2 0.137 0.303 0.000 1
Pr3 0.181 0.573 0.500 1
Co1 0.000 0.500 0.000 1
Hg1 0.073 0.834 0.500 1
# - size of the total moment (μB/atom) = 0.00
# - electronic total energy (eV for the cell shown) = -67.35
# - excess energy over the best structure of this formula in the dataset (meV/atom) = 0

---

Record 6
# GGA-PBE Pr3Co3Hg, optimized geometry
data_Pr3Co3Hg
_chemical_formula_sum 'Pr6 Co6 Hg2'
_cell_length_a 9.9852
_cell_length_b 9.9852
_cell_length_c 3.8822
_cell_angle_alpha 90.00
_cell_angle_beta 90.00
_cell_angle_gamma 120.00
_symmetry_space_group_name_H-M 'P 63/m'
_symmetry_Int_Tables_number 176
_symmetry_space_group_name_Hall '-P 6c'
loop_
_atom_site_label
_atom_site_fract_x
_atom_site_fract_y
_atom_site_fract_z
_atom_site_occupancy
Pr1 0.0762 0.6937 0.2500 1
Co1 0.0266 0.8725 0.7500 1
Hg1 0.3333 0.6667 0.7500 1
# - size of the total moment (μB/atom) = 0.34
# - electronic total energy (eV for the cell shown) = -73.60

---

Record 7
# GGA-PBE Pr12Co5Hg, optimized geometry
data_Pr12Co5Hg
_chemical_formula_sum 'Pr24 Co10 Hg2'
_cell_length_a 9.839
_cell_length_b 10.011
_cell_length_c 10.105
_cell_angle_alpha 90.00
_cell_angle_beta 90.00
_cell_angle_gamma 90.00
_symmetry_space_group_name_H-M 'I m m m'
_symmetry_Int_Tables_number 71
_symmetry_space_group_name_Hall '-I 2 2'
loop_
_atom_site_label
_atom_site_fract_x
_atom_site_fract_y
_atom_site_fract_z
_atom_site_occupancy
Pr1 0.000 0.190 0.199 1
Pr2 0.194 0.500 0.183 1
Pr3 0.201 0.316 0.500 1
Co1 0.000 0.000 0.000 1
Co2 0.000 0.380 0.000 1
Co3 0.000 0.500 0.388 1
Hg1 0.000 0.000 0.500 1
# - size of the total moment (μB/atom) = 0.00
# - electronic total energy (eV for the cell shown) = -189.96

---

Record 8
# GGA-PBE Pr6CoHg, optimized geometry
data_Pr6CoHg
_chemical_formula_sum 'Pr12 Co2 Hg2'
_cell_length_a 7.842
_cell_length_b 10.596
_cell_length_c 6.571
_cell_angle_alpha 90.00
_cell_angle_beta 105.40
_cell_angle_gamma 90.00
_symmetry_space_group_name_H-M 'C 1 2/m 1'
_symmetry_Int_Tables_number 12
loop_
_symmetry_equiv_pos_as_xyz
'x,y,z'
'-x,-y,-z'
'-x,y,-z'
'x,-y,z'
'x+1/2,y+1/2,z'
'-x+1/2,-y+1/2,-z'
'-x+1/2,y+1/2,-z'
'x+1/2,-y+1/2,z'
loop_
_atom_site_label
_atom_site_fract_x
_atom_site_fract_y
_atom_site_fract_z
_atom_site_occupancy
Pr1 0.132 0.188 0.276 1
Pr2 0.227 0.500 0.155 1
Co1 0.000 0.000 0.000 1
Hg1 0.000 0.500 0.500 1
# - size of the total moment (μB/atom) = 0.00
# - electronic total energy (eV for the cell shown) = -72.25
# - excess energy over the best structure of this formula in the dataset (meV/atom) = 0

---

Record 9
# GGA-PBE Pr3CoHg2, optimized geometry
data_Pr3CoHg2
_chemical_formula_sum 'Pr12 Co4 Hg8'
_cell_length_a 15.475
_cell_length_b 5.960
_cell_length_c 7.750
_cell_angle_alpha 90.00
_cell_angle_beta 104.49
_cell_angle_gamma 90.00
_symmetry_space_group_name_H-M 'C 1 2/c 1'
_symmetry_Int_Tables_number 15
loop_
_symmetry_equiv_pos_as_xyz
'x,y,z'
'-x,-y,-z'
'-x,y,-z+1/2'
'x,-y,z+1/2'
'x+1/2,y+1/2,z'
'-x+1/2,-y+1/2,-z'
'-x+1/2,y+1/2,-z+1/2'
'x+1/2,-y+1/2,z+1/2'
loop_
_atom_site_label
_atom_site_fract_x
_atom_site_fract_y
_atom_site_fract_z
_atom_site_occupancy
Pr1 0.000 0.001 0.250 1
Pr2 0.128 0.500 0.064 1
Co1 0.000 0.499 0.750 1
Hg1 0.193 0.000 0.097 1
# - size of the total moment (μB/atom) = 0.00
# - electronic total energy (eV for the cell shown) = -93.41

---

Record 10
# GGA-PBE Pr2CoHg, optimized geometry
data_Pr2CoHg
_chemical_formula_sum 'Pr6 Co3 Hg3'
_cell_length_a 3.9674
_cell_length_b 3.9674
_cell_length_c 24.3019
_cell_angle_alpha 90.00
_cell_angle_beta 90.00
_cell_angle_gamma 120.00
_symmetry_space_group_name_H-M 'R -3 m'
_symmetry_Int_Tables_number 166
_symmetry_space_group_name_Hall '-R 3 2"'
loop_
_atom_site_label
_atom_site_fract_x
_atom_site_fract_y
_atom_site_fract_z
_atom_site_occupancy
Pr1 0.0000 0.0000 0.2319 1
Co1 0.0000 0.0000 0.5000 1
Hg1 0.0000 0.0000 0.0000 1
# - size of the total moment (μB/atom) = 0.00
# - electronic total energy (eV for the cell shown) = -52.98
# - excess energy over the best structure of this formula in the dataset (meV/atom) = 14

---

Record 11
# GGA-PBE Pr4Co2Hg, optimized geometry
data_Pr4Co2Hg
_chemical_formula_sum 'Pr8 Co4 Hg2'
_cell_length_a 7.016
_cell_length_b 7.083
_cell_length_c 8.725
_cell_angle_alpha 107.75
_cell_angle_beta 107.45
_cell_angle_gamma 104.55
_symmetry_space_group_name_H-M 'P 1'
_symmetry_Int_Tables_number 1
loop_
_symmetry_equiv_pos_as_xyz
'x,y,z'
loop_
_atom_site_label
_atom_site_fract_x
_atom_site_fract_y
_atom_site_fract_z
_atom_site_occupancy
Pr1 0.000 0.000 0.000 1
Pr2 0.014 0.718 0.579 1
Pr3 0.087 0.290 0.723 1
Pr4 0.246 0.606 0.192 1
Pr5 0.495 0.544 0.581 1
Pr6 0.565 0.114 0.721 1
Pr7 0.651 0.151 0.302 1
Pr8 0.705 0.566 0.110 1
Co1 0.039 0.372 0.332 1
Co2 0.358 0.191 0.970 1
Co3 0.691 0.848 0.467 1
Co4 0.875 0.531 0.834 1
Hg1 0.145 0.039 0.384 1
Hg2 0.410 0.805 0.917 1
# - size of the total moment (μB/atom) = 0.00
# - electronic total energy (eV for the cell shown) = -68.54
# - excess energy over the best structure of this formula in the dataset (meV/atom) = 0

---

Record 12
# GGA-PBE Pr6Co2Hg, optimized geometry
data_Pr6Co2Hg
_chemical_formula_sum 'Pr12 Co4 Hg2'
_cell_length_a 10.328
_cell_length_b 5.250
_cell_length_c 9.213
_cell_angle_alpha 90.00
_cell_angle_beta 101.15
_cell_angle_gamma 90.00
_symmetry_space_group_name_H-M 'C 1 2/m 1'
_symmetry_Int_Tables_number 12
loop_
_symmetry_equiv_pos_as_xyz
'x,y,z'
'-x,-y,-z'
'-x,y,-z'
'x,-y,z'
'x+1/2,y+1/2,z'
'-x+1/2,-y+1/2,-z'
'-x+1/2,y+1/2,-z'
'x+1/2,-y+1/2,z'
loop_
_atom_site_label
_atom_site_fract_x
_atom_site_fract_y
_atom_site_fract_z
_atom_site_occupancy
Pr1 0.034 0.000 0.346 1
Pr2 0.163 0.500 0.880 1
Pr3 0.206 0.500 0.340 1
Co1 0.110 0.500 0.591 1
Hg1 0.000 0.000 0.000 1
# - size of the total moment (μB/atom) = 0.00
# - electronic total energy (eV for the cell shown) = -87.73
# - excess energy over the best structure of this formula in the dataset (meV/atom) = 73